[1]
The following is a DFT calculation (PBEsol) of a relaxed structure of BeIrW2.

The calculation puts the volume at 13.6 Å³/atom. The value obtained for the total energy is -83.3 eV per cell.

Lattice parameters (Å, degrees): 3.0575 4.1614 8.5535 90.00 90.00 90.00
Closest atoms and distances in Å follow each position.
Space group Immm (No. 71)
Unique sites:
1 Be 0.0000 0.0000 0.0000  4 Ir 2.58, 4 W 2.59
2 Ir 0.0000 0.0000 0.5000  4 Be 2.58, 4 W 2.67
3 W 0.0000 0.5000 0.2560  4 W 2.58, 2 Be 2.59, 2 Ir 2.67

=====

[2]
The following is a DFT calculation (PBEsol) of a relaxed structure of Be2IrW.

The calculation puts the volume at 12.1 Å³/atom. The value obtained for the total energy is -63.0 eV per cell. As for the offset from the most stable computed form: 0.000 eV/atom.

Lattice parameters (Å, degrees): 7.8673 2.7235 4.6645 90.00 103.57 90.00
Closest atoms and distances in Å follow each position.
Space group C2/m (No. 12)
Unique sites:
1 Be 0.2426 0.0000 0.2111  3 Ir 2.36-2.45, 2 Be 2.42, 3 W 2.55-2.58
2 Ir 0.0000 0.5000 0.0000  6 Be 2.36-2.45
3 W 0.0000 0.0000 0.5000  6 Be 2.55-2.58, 4 Ir 2.70, 2 W 2.72

=====

What did the first record say?
The following is a DFT calculation (PBEsol) of a relaxed structure of BeIrW2.

The calculation puts the volume at 13.6 Å³/atom. The value obtained for the total energy is -83.3 eV per cell.

Lattice parameters (Å, degrees): 3.0575 4.1614 8.5535 90.00 90.00 90.00
Closest atoms and distances in Å follow each position.
Space group Immm (No. 71)
Unique sites:
1 Be 0.0000 0.0000 0.0000  4 Ir 2.58, 4 W 2.59
2 Ir 0.0000 0.0000 0.5000  4 Be 2.58, 4 W 2.67
3 W 0.0000 0.5000 0.2560  4 W 2.58, 2 Be 2.59, 2 Ir 2.67